i.
Computed, not measured: crystalline Ce2AgPt9 at its relaxed geometry at the PBE level of DFT.

The structure in POSCAR format:
```
Ce2AgPt9
1.0
4.1400 0.0000 0.0000
0.0000 4.1400 0.0000
0.0000 0.0000 12.2360
Ce Ag Pt
2 1 9
Cartesian
0.0000 0.0000 3.9842
0.0000 0.0000 8.2518
0.0000 0.0000 0.0000
2.0700 2.0700 0.0000
2.0700 2.0700 4.0413
2.0700 2.0700 8.1947
2.0700 0.0000 1.9710
2.0700 0.0000 6.1180
2.0700 0.0000 10.2650
0.0000 2.0700 1.9710
0.0000 2.0700 6.1180
0.0000 2.0700 10.2650
```

Results
Magnetization ... 0.000 μB per cell

---

ii.
Computed, not measured: crystalline Ce2AgPt9 at its relaxed geometry at the PBE level of DFT.

The structure in POSCAR format:
```
Ce2AgPt9
1.0
5.4167 0.0000 0.0000
2.7083 4.6910 0.0000
2.7083 1.5637 8.8830
Ce Ag Pt
2 1 9
Cartesian
8.1250 4.6910 3.5923
2.7083 1.5637 5.2906
0.0000 0.0000 0.0000
8.1250 4.6910 8.8554
2.7083 1.5636 0.0276
5.4167 3.1273 4.4415
4.0450 2.3354 2.2590
6.7883 2.3354 2.2590
5.4167 4.7112 2.2590
6.7883 3.9193 6.6240
5.4167 1.5434 6.6240
4.0450 3.9193 6.6240
```

Results
Magnetization ... 1.052 μB per cell

---

Stability check: which of them is most stable? i.